Entry 1:
Computed, not measured: HfAlAg2Mo after structural relaxation at the PBEsol level of DFT.

The structure in POSCAR format:
```
HfAlAg2Mo
1.0
4.845 0.000 0.000
0.000 4.845 0.000
0.000 0.000 4.620
Hf Al Ag Mo
1 1 2 1
Cartesian
0.000 0.000 0.000
2.422 2.422 0.000
0.000 2.422 2.310
2.422 0.000 2.310
2.422 2.422 2.310
```

Output
- energy relative to the elements (eV/atom) = 1.33
- uncorrected energy (eV/atom) = -5.267
- spin magnetization (μB per cell) = 0.000
- N(E_F) (states/eV/cell) = 3.526

Entry 2:
Computed, not measured: Zn3B2O6 after structural relaxation at the PBEsol level of DFT.

The structure in POSCAR format:
```
Zn3B2O6
1.0
6.294 0.000 0.000
2.358 7.893 0.000
0.041 0.003 10.042
Zn B O
12 8 24
Cartesian
0.778 2.273 0.821
0.856 0.530 3.444
1.675 0.830 8.274
2.542 3.173 4.256
4.473 5.668 3.236
4.771 5.708 8.424
3.923 2.188 1.618
4.220 2.228 6.807
6.152 4.722 5.786
7.018 7.066 1.768
7.838 7.366 6.598
7.915 5.623 9.221
2.359 4.556 1.748
2.564 4.638 6.781
4.326 7.361 0.876
4.278 7.111 5.862
4.415 0.785 4.181
4.368 0.535 9.166
6.130 3.258 3.261
6.334 3.340 8.295
0.770 2.434 3.863
1.861 5.657 1.084
1.107 0.075 6.590
1.299 0.499 1.512
2.797 4.693 3.050
2.441 3.331 1.110
3.001 4.874 8.072
3.008 3.539 6.079
4.222 7.146 4.483
4.271 7.217 9.545
3.607 1.692 3.530
3.581 1.418 8.433
5.113 6.478 1.609
5.087 6.204 6.512
4.423 0.679 0.497
4.471 0.750 5.559
5.686 4.357 3.964
5.693 3.022 1.970
6.252 4.565 8.932
5.897 3.203 6.993
7.395 7.397 8.531
7.587 7.821 3.452
6.833 2.239 8.959
7.924 5.462 6.179
```

Output
- excess energy over the best structure of this formula in the dataset (meV/atom) = 0
- uncorrected energy (eV/atom) = -6.461
- spin magnetization (μB per cell) = 0.000
- ΔE_f (raw) (kcal/mol of atoms) = -43.59
- N(E_F) (states/eV/cell) = 0.000

Entry 3:
Computed, not measured: TaIO2 after structural relaxation at the PBEsol level of DFT.

The structure in POSCAR format:
```
TaIO2
1.0
1.578 0.911 9.632
-1.578 0.911 9.632
0.000 -1.822 9.632
Ta I O
1 1 2
Cartesian
0.000 0.000 0.000
0.000 0.000 14.449
0.000 0.000 10.629
0.000 0.000 18.268
```

Output
- uncorrected energy (eV/atom) = -7.824
- spin magnetization (μB per cell) = 0.988
- ΔE_f (raw) (kcal/mol of atoms) = -37.36
- N(E_F) (states/eV/cell) = 1.983

Entry 4:
Computed, not measured: NaTaSe2N after structural relaxation at the PBEsol level of DFT.

The structure in POSCAR format:
```
NaTaSe2N
1.0
4.907 0.000 0.000
0.000 4.907 0.000
0.000 0.000 3.881
Na Ta Se N
1 1 2 1
Cartesian
0.000 0.000 0.000
2.453 2.453 1.941
0.000 2.453 0.000
2.453 0.000 0.000
0.000 0.000 1.941
```

Output
- uncorrected energy (eV/atom) = -4.528
- spin magnetization (μB per cell) = 1.041
- ΔE_f (raw) (kcal/mol of atoms) = 34.77
- N(E_F) (states/eV/cell) = 3.858

Entry 5:
Computed, not measured: CdInHg2 after structural relaxation at the PBEsol level of DFT.

The structure in POSCAR format:
```
CdInHg2
1.0
3.783 0.000 0.000
0.000 3.783 0.000
0.000 0.000 6.509
Cd In Hg
1 1 2
Cartesian
0.000 0.000 0.000
1.891 1.891 4.774
0.000 0.000 3.164
1.891 1.891 1.494
```

Output
- energy relative to the elements (eV/atom) = 0.01
- uncorrected energy (eV/atom) = -1.317
- spin magnetization (μB per cell) = 0.000
- N(E_F) (states/eV/cell) = 1.656

Entry 6:
Computed, not measured: OsRh2 after structural relaxation at the PBEsol level of DFT.

The structure in POSCAR format:
```
OsRh2
1.0
1.904 -5.674 0.000
1.904 5.674 0.000
0.000 0.000 3.780
Os Rh
2 4
Cartesian
1.904 4.746 2.835
1.904 -4.746 0.945
1.904 2.800 0.945
1.904 0.901 2.835
1.904 -0.901 0.945
1.904 -2.800 2.835
```

Output
- excess energy over the best structure of this formula in the dataset (meV/atom) = 34
- energy relative to the elements (eV/atom) = 0.04
- uncorrected energy (eV/atom) = -9.459
- spin magnetization (μB per cell) = 0.000
- N(E_F) (states/eV/cell) = 5.873

Entry 7:
Computed, not measured: Co3Ir after structural relaxation at the PBEsol level of DFT.

The structure in POSCAR format:
```
Co3Ir
1.0
2.560 0.000 0.000
0.000 3.491 0.000
0.000 0.000 5.035
Co Ir
3 1
Cartesian
0.000 0.000 0.000
1.280 1.746 1.202
1.280 1.746 3.833
0.000 0.000 2.517
```

Output
- energy relative to the elements (eV/atom) = 0.06
- uncorrected energy (eV/atom) = -8.200
- spin magnetization (μB per cell) = 3.723
- N(E_F) (states/eV/cell) = 5.764

Entry 8:
Computed, not measured: BaSi4Au after structural relaxation at the PBEsol level of DFT.

The structure in POSCAR format:
```
BaSi4Au
1.0
0.000 3.876 3.876
3.876 0.000 3.876
3.876 3.876 0.000
Ba Si Au
1 4 1
Cartesian
0.000 0.000 0.000
2.954 2.954 2.954
4.798 4.798 2.954
4.798 2.954 4.798
2.954 4.798 4.798
5.814 5.814 5.814
```

Output
- uncorrected energy (eV/atom) = -4.660
- spin magnetization (μB per cell) = 0.000
- ΔE_f (raw) (kcal/mol of atoms) = 4.23
- N(E_F) (states/eV/cell) = 4.363